(1)
Here is a relaxed Tb2CrIr3 crystal from Alexandria via LeMat-Bulk. Energies are from PBE.

Cell lengths 5.4875, 5.4875, 8.2659 Å; angles 90.00, 90.00, 120.00 degrees
With the nearest neighbours (Å) after each atom.
Sites, in units of the cell vectors:
Ir 0.8317 0.1683 0.7500  2 Cr 2.61, 4 Ir 2.72-2.77
Tb 0.6667 0.3333 0.4365  9 Ir 3.03-3.15, 4 Tb 3.08-3.34, 3 Cr 3.21
Tb 0.3333 0.6667 0.5635  9 Ir 3.03-3.15, 4 Tb 3.08-3.34, 3 Cr 3.21
Ir 0.8317 0.6634 0.7500  2 Cr 2.61, 4 Ir 2.72-2.77
Tb 0.6667 0.3333 0.0635  9 Ir 3.03-3.15, 4 Tb 3.08-3.34, 3 Cr 3.21
Ir 0.6634 0.8317 0.2500  2 Cr 2.61, 4 Ir 2.72-2.77
Ir 0.1683 0.3366 0.2500  2 Cr 2.61, 4 Ir 2.72-2.77
Cr 0.0000 0.0000 0.0000  6 Ir 2.61
Tb 0.3333 0.6667 0.9365  9 Ir 3.03-3.15, 4 Tb 3.08-3.34, 3 Cr 3.21
Ir 0.3366 0.1683 0.7500  2 Cr 2.61, 4 Ir 2.72-2.77
Cr 0.0000 0.0000 0.5000  6 Ir 2.61
Ir 0.1683 0.8317 0.2500  2 Cr 2.61, 4 Ir 2.72-2.77

(2)
Here is a relaxed Cr2TcIr crystal from Alexandria via LeMat-Bulk. Energies are from PBE.

Cell lengths 3.0570, 3.0570, 5.8554 Å; angles 90.00, 90.00, 90.00 degrees
With the nearest neighbours (Å) after each atom.
Sites, in units of the cell vectors:
Ir 0.5000 0.5000 0.2500  8 Cr 2.64, 2 Tc 2.93
Cr 0.0000 0.0000 0.5074  4 Tc 2.59, 4 Ir 2.64, 1 Cr 2.84
Tc 0.5000 0.5000 0.7500  8 Cr 2.59
Cr 0.0000 0.0000 0.9926  4 Tc 2.59, 4 Ir 2.64, 1 Cr 2.84

(3)
Here is a relaxed CrTcIr crystal from Alexandria via LeMat-Bulk. Energies are from PBE.

Cell lengths 4.2153, 4.2153, 2.6707 Å; angles 90.00, 90.00, 120.00 degrees
With the nearest neighbours (Å) after each atom.
Sites, in units of the cell vectors:
Ir 0.6667 0.3333 0.3334  2 Ir 2.67, 6 Tc 2.78, 6 Cr 2.78
Tc 0.3333 0.6667 0.8333  3 Cr 2.43, 2 Tc 2.67
Cr 0.0000 0.0000 0.8334  3 Tc 2.43, 2 Cr 2.67

Computed properties:
Excess energy over the best structure of this formula in the dataset = 15 meV per atom

(4)
Here is a relaxed Cr2TcIr crystal from Alexandria via LeMat-Bulk. Energies are from PBE.

Cell lengths 2.6729, 2.6729, 7.4325 Å; angles 90.00, 90.00, 89.98 degrees
With the nearest neighbours (Å) after each atom.
Sites, in units of the cell vectors:
Ir 0.5000 0.5000 0.2500  8 Cr 2.64, 4 Ir 2.67
Tc 0.5000 0.5000 0.7500  8 Cr 2.66, 4 Tc 2.67
Cr 0.0000 0.0000 0.4976  4 Ir 2.64, 4 Tc 2.66, 4 Cr 2.67
Cr 0.0000 0.0000 0.0024  4 Ir 2.64, 4 Tc 2.66, 4 Cr 2.67

(5)
Here is a relaxed Cr2TcIr crystal from Alexandria via LeMat-Bulk. Energies are from PBE.

Cell lengths 4.6613, 4.6613, 4.6613 Å; angles 132.99, 132.99, 68.67 degrees
With the nearest neighbours (Å) after each atom.
Sites, in units of the cell vectors:
Cr 0.2500 0.7500 0.5000  4 Tc 2.63, 4 Cr 2.68, 4 Ir 2.68
Tc 0.7500 0.2500 0.5000  8 Cr 2.63-2.68, 4 Ir 2.68
Ir 0.5000 0.5000 0.0000  8 Cr 2.63-2.68, 4 Tc 2.68
Cr 0.0000 0.0000 0.0000  4 Ir 2.63, 4 Tc 2.68, 4 Cr 2.68

(6)
Here is a relaxed Cr2TcIr crystal from Alexandria via LeMat-Bulk. Energies are from PBE.

Cell lengths 4.5438, 4.5438, 4.6775 Å; angles 80.55, 80.55, 34.10 degrees
With the nearest neighbours (Å) after each atom.
Sites, in units of the cell vectors:
Cr 0.4967 0.4967 0.5041  3 Ir 2.62-2.65, 3 Tc 2.62-2.67, 6 Cr 2.66-2.72
Tc 0.2500 0.2500 0.2500  6 Cr 2.62-2.67, 2 Tc 2.66, 4 Ir 2.69
Ir 0.7500 0.7500 0.7500  6 Cr 2.62-2.65, 2 Ir 2.66, 4 Tc 2.69
Cr 0.0033 0.0033 0.9959  3 Ir 2.62-2.65, 3 Tc 2.62-2.67, 6 Cr 2.66-2.72

(7)
Here is a relaxed Cr2TcIr crystal from Alexandria via LeMat-Bulk. Energies are from PBE.

Cell lengths 3.6801, 2.6711, 6.0187 Å; angles 63.65, 90.00, 90.00 degrees
With the nearest neighbours (Å) after each atom.
Sites, in units of the cell vectors:
Tc 0.5000 0.7500 0.7500  8 Cr 2.64-2.65, 2 Tc 2.67, 2 Ir 2.70
Cr 0.0000 0.5011 0.4996  4 Ir 2.64, 4 Tc 2.64-2.65, 4 Cr 2.67-2.70
Ir 0.5000 0.2500 0.2500  8 Cr 2.64, 2 Ir 2.67, 2 Tc 2.70
Cr 0.0000 0.9989 0.0004  4 Ir 2.64, 4 Tc 2.64-2.65, 4 Cr 2.67-2.70

(8)
Here is a relaxed CrTcIr3 crystal from Alexandria via LeMat-Bulk. Energies are from PBE.

Cell lengths 4.4631, 4.4631, 4.4631 Å; angles 90.00, 90.00, 90.00 degrees
With the nearest neighbours (Å) after each atom.
Sites, in units of the cell vectors:
Ir 0.5000 0.0000 0.0000  2 Cr 2.23
Ir 0.0000 0.0000 0.5000  2 Cr 2.23
Tc 0.5000 0.5000 0.5000  12 Ir 3.16
Ir 0.0000 0.5000 0.0000  2 Cr 2.23
Cr 0.0000 0.0000 0.0000  6 Ir 2.23

Computed properties:
Excess energy over the best structure of this formula in the dataset = 1639 meV per atom

(9)
Here is a relaxed Cr2TcIr crystal from Alexandria via LeMat-Bulk. Energies are from PBE.

Cell lengths 8.7048, 8.7048, 8.7048 Å; angles 17.74, 17.74, 17.74 degrees
With the nearest neighbours (Å) after each atom.
Sites, in units of the cell vectors:
Ir 0.2500 0.2500 0.2500  6 Cr 2.63, 6 Ir 2.68
Cr 0.5004 0.5004 0.5004  3 Ir 2.63, 3 Tc 2.65, 6 Cr 2.68
Cr 0.9996 0.9996 0.9996  3 Ir 2.63, 3 Tc 2.65, 6 Cr 2.68
Tc 0.7500 0.7500 0.7500  6 Cr 2.65, 6 Tc 2.68

(10)
Here is a relaxed CrTcIr crystal from Alexandria via LeMat-Bulk. Energies are from PBE.

Cell lengths 4.2006, 4.9963, 4.9963 Å; angles 94.66, 65.13, 65.13 degrees
With the nearest neighbours (Å) after each atom.
Sites, in units of the cell vectors:
Ir 0.7505 0.7495 0.7495  2 Ir 2.65-2.66, 6 Cr 2.75-2.83, 6 Tc 2.75-2.79
Cr 0.0000 0.8406 0.1594  1 Cr 2.34, 2 Tc 2.44
Cr 0.0000 0.1594 0.8406  1 Cr 2.34, 2 Tc 2.44
Tc 0.5000 0.6725 0.3275  4 Cr 2.44-2.66, 1 Tc 2.53
Ir 0.2495 0.2505 0.2505  2 Ir 2.65-2.66, 6 Cr 2.75-2.83, 6 Tc 2.75-2.79
Tc 0.5000 0.3275 0.6725  4 Cr 2.44-2.66, 1 Tc 2.53

Computed properties:
Excess energy over the best structure of this formula in the dataset = 0 meV per atom

(11)
Here is a relaxed Cr4TcIr crystal from Alexandria via LeMat-Bulk. Energies are from PBE.

Cell lengths 4.7342, 4.7342, 4.7342 Å; angles 60.00, 60.00, 60.00 degrees
With the nearest neighbours (Å) after each atom.
Sites, in units of the cell vectors:
Cr 0.6257 0.6257 0.1228  6 Cr 2.35-2.38
Cr 0.6257 0.1228 0.6257  6 Cr 2.35-2.38
Tc 0.0000 0.0000 0.0000  12 Cr 2.77, 4 Ir 2.90
Ir 0.2500 0.2500 0.2500  12 Cr 2.78, 4 Tc 2.90
Cr 0.6257 0.6257 0.6257  6 Cr 2.35-2.38
Cr 0.1228 0.6257 0.6257  6 Cr 2.35-2.38

(12)
Here is a relaxed CrTcIr crystal from Alexandria via LeMat-Bulk. Energies are from PBE.

Cell lengths 4.0375, 4.0375, 4.0375 Å; angles 60.00, 60.00, 60.00 degrees
With the nearest neighbours (Å) after each atom.
Sites, in units of the cell vectors:
Cr 0.7500 0.7500 0.7500  4 Tc 2.47, 4 Ir 2.47
Tc 0.5000 0.5000 0.5000  4 Cr 2.47
Ir 0.0000 0.0000 0.0000  4 Cr 2.47

Computed properties:
Excess energy over the best structure of this formula in the dataset = 411 meV per atom

(13)
Here is a relaxed CrTcIr crystal from Alexandria via LeMat-Bulk. Energies are from PBE.

Cell lengths 2.6862, 5.4276, 5.9487 Å; angles 76.88, 76.77, 89.74 degrees
With the nearest neighbours (Å) after each atom.
Sites, in units of the cell vectors:
Ir 0.6604 0.5813 0.6827  4 Cr 2.57-2.63, 4 Ir 2.69-2.82, 4 Tc 2.71-2.77
Tc 0.6586 0.0836 0.6755  4 Cr 2.64-2.68, 4 Tc 2.69-2.76, 4 Ir 2.71-2.77
Cr 0.0030 0.2528 0.0049  4 Ir 2.57-2.63, 4 Tc 2.64-2.68, 4 Cr 2.67-2.76
Cr 0.9970 0.7472 0.9951  4 Ir 2.57-2.63, 4 Tc 2.64-2.68, 4 Cr 2.67-2.76
Tc 0.3414 0.9164 0.3245  4 Cr 2.64-2.68, 4 Tc 2.69-2.76, 4 Ir 2.71-2.77
Ir 0.3396 0.4187 0.3173  4 Cr 2.57-2.63, 4 Ir 2.69-2.82, 4 Tc 2.71-2.77

Computed properties:
Excess energy over the best structure of this formula in the dataset = 37 meV per atom

(14)
Here is a relaxed Cr2TcIr crystal from Alexandria via LeMat-Bulk. Energies are from PBE.

Cell lengths 2.8402, 2.8402, 6.5261 Å; angles 90.00, 90.00, 90.00 degrees
With the nearest neighbours (Å) after each atom.
Sites, in units of the cell vectors:
Cr 0.5000 0.5000 0.2191  4 Cr 2.37, 4 Ir 2.62
Cr 0.0000 0.0000 0.0271  4 Cr 2.37, 4 Tc 2.59
Tc 0.5000 0.5000 0.7767  5 Cr 2.59-2.89, 4 Ir 2.80, 4 Tc 2.84
Ir 0.0000 0.0000 0.4771  4 Cr 2.62, 4 Tc 2.80, 4 Ir 2.84

no.,formation energy from the elements (meV per atom),D(E_F) (states/eV/cell)
1,-669,8.90
2,70,5.86
3,-48,2.91
4,31,5.36
5,2,5.66
6,36,4.53
7,12,4.85
8,1495,5.04
9,111,6.99
10,-63,4.15
11,-73,5.04
12,348,4.73
13,-26,7.66
14,24,4.78